# YCSN2 (PBE, optimized geometry)
# * D(E_F): 3.01 states/eV/cell
# * space-group type: P4/mmm (123)
# * ΔE_f (raw): 214.4 kJ/mol of atoms
data_YCSN2
_space_group_name_H-M_alt 'P 1'
_space_group_IT_number 1
_space_group_name_Hall 'P 1'
_cell_length_a 4.508
_cell_length_b 4.508
_cell_length_c 5.537
_cell_angle_alpha 90.00
_cell_angle_beta 90.00
_cell_angle_gamma 90.00
loop_
_atom_site_label
_atom_site_fract_x
_atom_site_fract_y
_atom_site_fract_z
_atom_site_occupancy
Y1 0.000 0.000 0.000 1
C1 0.500 0.500 0.500 1
S1 0.000 0.000 0.500 1
N1 0.000 0.500 0.000 1
N2 0.500 0.000 0.000 1